Record 1
{
  "formula": "TaPb2",
  "functional": "PBE",
  "state": "relaxed",
  "lattice": [[-3.9507, -1.4041, 4.8433], [3.6995, -4.5696, -2.5436], [6.9746, 2.1351, 6.3083]],
  "species": ["Ta", "Pb", "Pb", "Pb", "Pb", "Pb", "Pb", "Ta", "Pb", "Ta", "Pb", "Ta"],
  "fractional_positions": [[0.6667, 0.3333, 0.1238], [0.8242, 0.1758, 0.7500], [0.0000, 0.0000, 0.0000], [0.1758, 0.8242, 0.2500], [0.6484, 0.8242, 0.2500], [0.3516, 0.1758, 0.7500], [0.8242, 0.6484, 0.7500], [0.3333, 0.6667, 0.8762], [0.1758, 0.3516, 0.2500], [0.6667, 0.3333, 0.3762], [0.0000, 0.0000, 0.5000], [0.3333, 0.6667, 0.6238]],
  "final_energy_ev_per_atom": -5.3049,
  "m_tot_mub_per_atom": 0.000,
  "mass_density_g_cm3": 11.5
}

***

Record 2
{
  "formula": "SmSb2Pd2",
  "functional": "PBE",
  "state": "relaxed",
  "lattice": [[-2.0920, -2.9695, -2.8384], [4.0396, -0.9088, -2.0266], [1.7133, -7.8259, 6.9246]],
  "species": ["Pd", "Pd", "Sb", "Sb", "Sb", "Sb", "Sm", "Sm", "Pd", "Pd"],
  "fractional_positions": [[0.0000, 0.0000, 0.0000], [0.5000, 0.5000, 0.0000], [0.0000, 0.0000, 0.5000], [0.5000, 0.0000, 0.1279], [0.5000, 0.5000, 0.5000], [0.0000, 0.5000, 0.8721], [0.5000, 0.0000, 0.7599], [0.0000, 0.5000, 0.2401], [0.0000, 0.5000, 0.6300], [0.5000, 0.0000, 0.3700]],
  "final_energy_ev_per_atom": -5.4447,
  "m_tot_mub_per_atom": 0.000,
  "mass_density_g_cm3": 9.0
}

***

Record 3
{
  "formula": "PmHoAsO",
  "functional": "PBE",
  "state": "relaxed",
  "lattice": [[-0.5142, -0.4807, 4.3265], [3.5455, -2.5740, 0.1354], [5.1839, 7.2148, 1.4177]],
  "species": ["Ho", "Ho", "O", "O", "As", "Pm", "Pm", "As"],
  "fractional_positions": [[0.7500, 0.2500, 0.5000], [0.2500, 0.7500, 0.5000], [0.2500, 0.7500, 0.0000], [0.7500, 0.2500, 0.0000], [0.2500, 0.2500, 0.6985], [0.7500, 0.7500, 0.8921], [0.2500, 0.2500, 0.1079], [0.7500, 0.7500, 0.3015]],
  "de_polymorph_mev_per_atom": 66,
  "m_tot_mub_per_atom": 0.000,
  "mass_density_g_cm3": 7.7
}